Density functional theory data (PBE) for PmHoNiAg after structural relaxation.

Calculated values
- Formation energy from the elements: -0.273 eV per atom

Structure (POSCAR):
```
PmHoNiAg
1.0
5.0312 0.0000 0.0000
2.5156 4.3572 0.0000
2.5156 1.4524 4.1080
Ni Ho Ag Pm
1 1 1 1
Cartesian
7.5468 4.3572 3.0810 Ni
0.0000 0.0000 0.0000 Ho
2.5156 1.4524 1.0270 Ag
5.0312 2.9048 2.0540 Pm
```

Density functional theory data (PBE) for LaTb6Ce2Y3 after structural relaxation.

Calculated values
- Formation energy from the elements: 0.051 eV per atom

Structure (POSCAR):
```
LaTb6Ce2Y3
1.0
6.1832 -0.0024 0.0456
-3.0922 5.3545 0.0456
-1.1187 -1.9370 11.6241
La Tb Ce Y
1 6 2 3
Cartesian
0.0000 0.0000 0.0000 La
3.0341 1.6457 8.7880 Tb
2.0298 3.5146 2.9721 Tb
-1.0617 1.7694 2.9273 Tb
-0.0908 3.4505 8.7880 Tb
-0.0574 -0.0994 8.7432 Tb
2.0632 -0.0353 2.9273 Tb
-0.0012 3.5693 0.0456 Ce
3.0922 1.7828 0.0456 Ce
-2.1061 3.4935 5.8576 Y
4.0785 -0.0784 5.8576 Y
0.9862 1.7076 5.8576 Y
```

Density functional theory data (PBE) for CsK6Rb5 after structural relaxation.

Calculated values
- Formation energy from the elements: 0.006 eV per atom
- Polymorph energy (0 for the lowest one): 0.00 kJ per mole of atoms

Structure (POSCAR):
```
CsK6Rb5
1.0
-1.8636 -1.4068 6.5888
-6.9591 -8.3350 -0.0398
10.6012 -8.8581 1.1108
Cs K Rb
1 6 5
Cartesian
0.0000 0.0000 0.0000 Cs
-1.2037 -6.2389 5.7493 K
4.0060 -10.5882 6.2867 K
6.9622 -7.2993 4.1214 K
1.7755 -2.9655 3.5782 K
-2.2275 -8.0116 1.3732 K
2.9822 -12.3609 1.9105 K
-0.5878 -10.9319 4.9177 Rb
-2.9824 -3.2997 2.1601 Rb
5.3006 -4.4290 0.5554 Rb
-5.8403 -6.4420 4.3890 Rb
2.3663 -7.6679 2.7421 Rb
```

Density functional theory data (PBE) for Er2Th2S7 after structural relaxation.

Calculated values
- Formation energy from raw total energies: -21.0 eV per formula unit

Structure (POSCAR):
```
Er2Th2S7
1.0
-1.5184 -3.0519 -3.1817
-2.8508 -1.8873 3.1708
-9.4242 8.3444 -3.5064
Er Th S
2 2 7
Cartesian
-8.8895 5.6728 -4.6159 Er
-2.7193 0.2020 1.1040 Er
-4.2568 1.5709 -2.8922 Th
-7.3520 4.3038 -0.6197 Th
-2.1846 -2.4696 -0.0055 S
-2.1585 1.9112 -0.8031 S
-4.5587 -0.3675 -0.8888 S
-4.7121 4.1722 -1.7532 S
-6.8967 1.7026 -1.7587 S
-7.2656 6.4332 -2.7033 S
-9.2347 3.7727 -2.6286 S
```

Density functional theory data (PBE) for ZrIrRh2 after structural relaxation.

Calculated values
- Formation energy from the elements: -0.038 eV per atom

Structure (POSCAR):
```
ZrIrRh2
1.0
-7.9890 -4.3782 2.0280
-6.7668 -4.5100 4.5799
-8.2237 -2.2012 3.8250
Ir Rh Zr
1 2 1
Cartesian
-17.1271 -8.2652 7.7759 Ir
-0.0006 -0.0003 0.0003 Rh
-5.8386 -2.8176 2.6508 Rh
-11.5029 -5.5511 5.2224 Zr
```

Density functional theory data (PBE) for Mg4Sc5Zn2 after structural relaxation.

Calculated values
- Formation energy from the elements: -0.143 eV per atom

Structure (POSCAR):
```
Mg4Sc5Zn2
1.0
-0.3387 0.0205 -3.4149
1.9200 -7.5732 -0.2360
-17.1996 -4.4129 1.6795
Mg Sc Zn
8 10 4
Cartesian
-9.3469 -4.7272 -0.8256 Mg
-6.2715 -7.2383 -1.1458 Mg
-14.6969 -10.1327 -0.3275 Mg
-0.9215 -1.8328 -1.6439 Mg
-13.9747 -6.9765 -0.3801 Mg
-1.6437 -4.9890 -1.5913 Mg
-9.5635 -9.8776 -0.8351 Mg
-6.0548 -2.0879 -1.1363 Mg
0.9600 -3.7866 -0.1180 Sc
-8.5998 -2.2065 0.8398 Sc
-3.2242 -2.8064 0.3029 Sc
-12.0554 -9.1797 1.1406 Sc
-3.4734 -6.9032 0.3030 Sc
-11.8062 -5.0828 1.1405 Sc
-6.5317 -4.7143 0.6195 Sc
-8.7479 -7.2718 0.8240 Sc
0.3384 -6.9845 -0.0756 Sc
-15.6180 -5.0016 1.5191 Sc
-4.4842 -4.7641 -1.3082 Zn
-11.1341 -7.2014 -0.6632 Zn
-1.7483 -8.0951 -1.5996 Zn
-13.8700 -3.8705 -0.3718 Zn
```

Density functional theory data (PBE) for AcLaTe2S after structural relaxation.

Calculated values
- Formation energy from raw total energies: -8.4 eV per formula unit

Structure (POSCAR):
```
AcLaTe2S
1.0
4.6958 0.0000 0.0000
0.0000 4.6958 0.0000
0.0000 0.0000 16.2869
Ac La Te S
2 2 4 2
Cartesian
2.3479 0.0000 9.8398 Ac
0.0000 2.3479 6.4470 Ac
2.3479 0.0000 1.8440 La
0.0000 2.3479 14.4429 La
0.0000 2.3479 11.4304 Te
0.0000 2.3479 1.5333 Te
2.3479 0.0000 14.7535 Te
2.3479 0.0000 4.8564 Te
0.0000 0.0000 8.1434 S
2.3479 2.3479 8.1434 S
```

Density functional theory data (PBE) for La8Nd2Er3 after structural relaxation.

Calculated values
- Formation energy from the elements: 0.171 eV per atom
- Polymorph energy (0 for the lowest one): 3.28 kJ per mole of atoms

Structure (POSCAR):
```
La8Nd2Er3
1.0
5.7684 0.0000 0.7171
0.0000 7.7491 0.0000
-1.2914 -3.8746 10.3424
La Nd Er
8 2 3
Cartesian
-0.4407 3.8746 3.5818 La
4.9177 0.0000 7.4777 La
5.4300 0.0000 3.3983 La
-0.9530 3.8746 7.6612 La
1.8572 1.5444 8.5721 La
1.8572 -1.5444 8.5721 La
2.6198 5.4190 2.4874 La
2.6198 2.3301 2.4874 La
2.2557 0.0000 5.3225 Nd
2.2213 3.8746 5.7369 Nd
2.8842 0.0000 0.3585 Er
0.0000 2.1879 0.0000 Er
0.0000 5.5613 0.0000 Er
```

Density functional theory data (PBE) for PrIn3 after structural relaxation.

Calculated values
- Formation energy from the elements: -0.380 eV per atom

Structure (POSCAR):
```
PrIn3
1.0
5.0498 0.0000 0.0000
0.0000 6.4687 0.0000
0.0000 0.0000 6.6083
Pr In
2 6
Cartesian
0.0000 4.0361 0.0000 Pr
2.5249 2.4325 3.3042 Pr
2.5249 1.9170 0.0000 In
0.0000 0.9268 4.9648 In
2.5249 5.5419 4.9477 In
0.0000 4.5517 3.3042 In
0.0000 0.9268 1.6435 In
2.5249 5.5419 1.6606 In
```

Density functional theory data (PBE) for ZnSe2N after structural relaxation.

Calculated values
- Formation energy from raw total energies: 2.4 eV per formula unit
- Polymorph energy (0 for the lowest one): 4.54 kJ per mole of atoms

Structure (POSCAR):
```
ZnSe2N
1.0
5.1367 0.0000 0.0000
0.0000 5.1367 0.0000
2.5683 2.5683 5.9798
Zn Se N
2 4 2
Cartesian
0.0000 0.0000 0.0000 Zn
5.1367 2.5683 2.9899 Zn
3.5255 1.2842 1.4949 Se
1.6112 3.8525 1.4949 Se
3.8525 4.1795 4.4848 Se
6.4209 6.0939 4.4848 Se
2.5683 2.5683 0.0000 N
2.5683 5.1367 2.9899 N
```

Density functional theory data (PBE) for Y8TlIr2 after structural relaxation.

Calculated values
- Formation energy from the elements: -0.404 eV per atom

Structure (POSCAR):
```
Y8TlIr2
1.0
5.4779 -0.0464 -0.0697
-0.9696 7.9126 -0.1128
-0.9696 -3.1516 7.2587
Y Tl Ir
8 1 2
Cartesian
3.5016 5.2133 4.6875 Y
3.5016 2.3180 6.6165 Y
0.4564 2.9078 4.3645 Y
1.7694 5.1579 1.6722 Y
1.7694 -0.4433 5.4040 Y
3.0824 1.8067 2.7117 Y
0.0372 2.3965 0.4597 Y
0.0372 -0.4988 2.3887 Y
2.7389 -0.0232 -0.0348 Tl
-0.9696 0.2739 4.9765 Ir
-0.9696 4.4871 2.1694 Ir
```

Density functional theory data (PBE) for SrPm3Pr4Te8 after structural relaxation.

Calculated values
- Formation energy from raw total energies: -23.2 eV per formula unit

Structure (POSCAR):
```
SrPm3Pr4Te8
1.0
-1.3232 -5.5490 -7.0191
7.0627 3.7367 -4.2817
1.0526 -3.3969 8.3129
Sr Pm Pr Te
1 3 4 8
Cartesian
3.5314 1.8684 -2.1409 Sr
2.8698 -0.9061 -5.6504 Pm
3.3961 -2.6046 -1.4939 Pm
4.0577 0.1699 2.0156 Pm
-0.6616 -2.7745 -3.5095 Pr
-0.1353 -4.4730 0.6469 Pr
0.0000 0.0000 0.0000 Pr
0.5263 -1.6985 4.1565 Pr
5.9962 -1.9837 3.3222 Te
5.4777 -0.3077 -0.7882 Te
1.9996 -2.1548 1.3276 Te
5.3422 -4.7276 -0.1506 Te
1.4500 -0.4816 -2.8372 Te
4.7925 -3.0544 -4.3154 Te
1.3144 -4.9015 -2.1997 Te
0.7959 -3.2255 -6.3100 Te
```